Here is a geometry-optimized Be2RuRh structure from Alexandria. Energies are from PBE.

Geometry as CIF:
```
data_Be2RuRh
_chemical_formula_sum 'Be2 Ru1 Rh1'
_cell_length_a 2.899
_cell_length_b 3.555
_cell_length_c 4.453
_cell_angle_alpha 90.00
_cell_angle_beta 90.00
_cell_angle_gamma 90.00
_space_group_name_H-M_alt 'P m m m'
_space_group_IT_number 47
loop_
_space_group_symop_operation_xyz
'x,y,z'
'-x,-y,-z'
'-x,-y,z'
'x,y,-z'
'x,-y,-z'
'-x,y,z'
'-x,y,-z'
'x,-y,z'
loop_
_atom_site_label
_atom_site_fract_x
_atom_site_fract_y
_atom_site_fract_z
Be1 0.000 0.000 0.000
Be2 0.500 0.000 0.500
Ru1 0.000 0.500 0.500
Rh1 0.500 0.500 0.000
```

Summary:
The energy relative to the elements comes out at -0.14 eV/atom.

Here is a geometry-optimized Ti2Be2ZnRh5 structure from Alexandria. Energies are from PBE.

Geometry as CIF:
```
data_Ti2Be2ZnRh5
_chemical_formula_sum 'Ti4 Be4 Zn2 Rh10'
_cell_length_a 9.231
_cell_length_b 9.231
_cell_length_c 3.099
_cell_angle_alpha 90.00
_cell_angle_beta 90.00
_cell_angle_gamma 90.00
_space_group_name_H-M_alt 'P 4/m b m'
_space_group_IT_number 127
_space_group_name_Hall '-P 4 2ab'
loop_
_atom_site_label
_atom_site_fract_x
_atom_site_fract_y
_atom_site_fract_z
Ti1 0.176 0.324 0.000
Be1 0.124 0.624 0.000
Zn1 0.000 0.000 0.000
Rh1 0.000 0.500 0.500
Rh2 0.076 0.792 0.500
```

Summary:
The energy relative to the elements comes out at -0.65 eV/atom.

Here is a geometry-optimized BeW2Se structure from Alexandria. Energies are from PBE.

Geometry as CIF:
```
data_BeW2Se
_chemical_formula_sum 'Be1 W2 Se1'
_cell_length_a 4.577
_cell_length_b 3.060
_cell_length_c 4.635
_cell_angle_alpha 90.00
_cell_angle_beta 112.57
_cell_angle_gamma 90.00
_space_group_name_H-M_alt 'P 1 2/m 1'
_space_group_IT_number 10
loop_
_space_group_symop_operation_xyz
'x,y,z'
'-x,-y,-z'
'-x,y,-z'
'x,-y,z'
loop_
_atom_site_label
_atom_site_fract_x
_atom_site_fract_y
_atom_site_fract_z
Be1 0.000 0.000 0.000
W1 0.000 0.500 0.500
W2 0.500 0.000 0.500
Se1 0.500 0.500 0.000
```

Summary:
As for the energy above the most stable polymorph in this dataset: 0.321 eV per atom. The value obtained for the formation energy from raw total energies is 49.3 kJ/mol of atoms.

Here is a geometry-optimized MgScSiAu structure from Alexandria. Energies are from PBE.

Geometry as CIF:
```
data_MgScSiAu
_chemical_formula_sum 'Mg4 Sc4 Si4 Au4'
_cell_length_a 6.648
_cell_length_b 6.648
_cell_length_c 6.648
_cell_angle_alpha 90.00
_cell_angle_beta 90.00
_cell_angle_gamma 90.00
_space_group_name_H-M_alt 'F -4 3 m'
_space_group_IT_number 216
_space_group_name_Hall 'F -4 2 3'
loop_
_atom_site_label
_atom_site_fract_x
_atom_site_fract_y
_atom_site_fract_z
Mg1 0.000 0.000 0.000
Sc1 0.000 0.000 0.500
Si1 0.250 0.250 0.750
Au1 0.250 0.250 0.250
```

Summary:
The value obtained for the formation energy from raw total energies is -48.7 kJ/mol of atoms.

Here is a geometry-optimized Pb2WBr structure from Alexandria. Energies are from PBE.

Geometry as CIF:
```
data_Pb2WBr
_chemical_formula_sum 'Pb2 W1 Br1'
_cell_length_a 3.167
_cell_length_b 5.349
_cell_length_c 5.956
_cell_angle_alpha 90.00
_cell_angle_beta 102.68
_cell_angle_gamma 90.00
_space_group_name_H-M_alt 'P 1 m 1'
_space_group_IT_number 6
loop_
_space_group_symop_operation_xyz
'x,y,z'
'x,-y,z'
loop_
_atom_site_label
_atom_site_fract_x
_atom_site_fract_y
_atom_site_fract_z
Pb1 0.000 0.000 0.000
Pb2 0.305 0.500 0.499
W1 0.452 0.500 0.019
Br1 0.795 0.000 0.497
```

Summary:
As for the energy above the most stable polymorph in this dataset: 0.237 eV per atom. The value obtained for the formation energy from raw total energies is 69.1 kJ/mol of atoms.

Here is a geometry-optimized NaCaPb structure from Alexandria. Energies are from PBE.

Geometry as CIF:
```
data_NaCaPb
_chemical_formula_sum 'Na2 Ca2 Pb2'
_cell_length_a 4.271
_cell_length_b 4.271
_cell_length_c 10.212
_cell_angle_alpha 90.00
_cell_angle_beta 90.00
_cell_angle_gamma 90.00
_space_group_name_H-M_alt 'I 4 m m'
_space_group_IT_number 107
_space_group_name_Hall 'I 4 -2'
loop_
_atom_site_label
_atom_site_fract_x
_atom_site_fract_y
_atom_site_fract_z
Na1 0.000 0.000 0.000
Ca1 0.000 0.000 0.317
Pb1 0.000 0.000 0.657
```

Summary:
The energy relative to the elements comes out at -0.26 eV/atom.

Here is a geometry-optimized K2BaCd structure from Alexandria. Energies are from PBE.

Geometry as CIF:
```
data_K2BaCd
_chemical_formula_sum 'K6 Ba3 Cd3'
_cell_length_a 4.4922
_cell_length_b 4.4922
_cell_length_c 38.8684
_cell_angle_alpha 90.00
_cell_angle_beta 90.00
_cell_angle_gamma 120.00
_space_group_name_H-M_alt 'R -3 m'
_space_group_IT_number 166
_space_group_name_Hall '-R 3 2"'
loop_
_atom_site_label
_atom_site_fract_x
_atom_site_fract_y
_atom_site_fract_z
K1 0.0000 0.0000 0.2342
Ba1 0.0000 0.0000 0.0000
Cd1 0.0000 0.0000 0.5000
```

Summary:
The energy relative to the elements comes out at 0.10 eV/atom.

Here is a geometry-optimized AlTlOs2 structure from Alexandria. Energies are from PBE.

Geometry as CIF:
```
data_AlTlOs2
_chemical_formula_sum 'Al4 Tl4 Os8'
_cell_length_a 6.407
_cell_length_b 6.407
_cell_length_c 6.407
_cell_angle_alpha 90.00
_cell_angle_beta 90.00
_cell_angle_gamma 90.00
_space_group_name_H-M_alt 'F -4 3 m'
_space_group_IT_number 216
_space_group_name_Hall 'F -4 2 3'
loop_
_atom_site_label
_atom_site_fract_x
_atom_site_fract_y
_atom_site_fract_z
Al1 0.000 0.000 0.000
Tl1 0.250 0.250 0.250
Os1 0.000 0.000 0.500
Os2 0.250 0.250 0.750
```

Summary:
As for the energy above the most stable polymorph in this dataset: 0.586 eV per atom. The energy relative to the elements comes out at 0.81 eV/atom.

Here is a geometry-optimized CdP4Pt structure from Alexandria. Energies are from PBE.

Geometry as CIF:
```
data_CdP4Pt
_chemical_formula_sum 'Cd4 P16 Pt4'
_cell_length_a 7.602
_cell_length_b 7.602
_cell_length_c 7.602
_cell_angle_alpha 90.00
_cell_angle_beta 90.00
_cell_angle_gamma 90.00
_space_group_name_H-M_alt 'F -4 3 m'
_space_group_IT_number 216
_space_group_name_Hall 'F -4 2 3'
loop_
_atom_site_label
_atom_site_fract_x
_atom_site_fract_y
_atom_site_fract_z
Cd1 0.000 0.000 0.000
P1 0.106 0.106 0.606
Pt1 0.250 0.250 0.250
```

Summary:
The energy relative to the elements comes out at 0.59 eV/atom.

Here is a geometry-optimized GaCuAu2 structure from Alexandria. Energies are from PBE.

Geometry as CIF:
```
data_GaCuAu2
_chemical_formula_sum 'Ga2 Cu2 Au4'
_cell_length_a 3.270
_cell_length_b 6.645
_cell_length_c 5.943
_cell_angle_alpha 90.00
_cell_angle_beta 90.00
_cell_angle_gamma 90.00
_space_group_name_H-M_alt 'A m m 2'
_space_group_IT_number 38
loop_
_space_group_symop_operation_xyz
'x,y,z'
'-x,-y,z'
'-x,y,z'
'x,-y,z'
'x,y+1/2,z+1/2'
'-x,-y+1/2,z+1/2'
'-x,y+1/2,z+1/2'
'x,-y+1/2,z+1/2'
loop_
_atom_site_label
_atom_site_fract_x
_atom_site_fract_y
_atom_site_fract_z
Ga1 0.000 0.000 0.000
Cu1 0.000 0.000 0.562
Au1 0.500 0.223 0.277
```

Summary:
The energy relative to the elements comes out at -0.10 eV/atom.

Here is a geometry-optimized Al4Fe2Ni structure from Alexandria. Energies are from PBE.

Geometry as CIF:
```
data_Al4Fe2Ni
_chemical_formula_sum 'Al8 Fe4 Ni2'
_cell_length_a 5.720
_cell_length_b 5.720
_cell_length_c 5.677
_cell_angle_alpha 90.00
_cell_angle_beta 90.00
_cell_angle_gamma 90.00
_space_group_name_H-M_alt 'I 4/m m m'
_space_group_IT_number 139
_space_group_name_Hall '-I 4 2'
loop_
_atom_site_label
_atom_site_fract_x
_atom_site_fract_y
_atom_site_fract_z
Al1 0.250 0.250 0.250
Fe1 0.000 0.500 0.000
Ni1 0.000 0.000 0.000
```

Summary:
The energy relative to the elements comes out at -0.38 eV/atom.

Here is a geometry-optimized CeSm2Os2 structure from Alexandria. Energies are from PBE.

Geometry as CIF:
```
data_CeSm2Os2
_chemical_formula_sum 'Ce2 Sm4 Os4'
_cell_length_a 4.338
_cell_length_b 5.831
_cell_length_c 9.417
_cell_angle_alpha 90.00
_cell_angle_beta 90.00
_cell_angle_gamma 90.00
_space_group_name_H-M_alt 'I m m m'
_space_group_IT_number 71
_space_group_name_Hall '-I 2 2'
loop_
_atom_site_label
_atom_site_fract_x
_atom_site_fract_y
_atom_site_fract_z
Ce1 0.000 0.000 0.000
Sm1 0.000 0.500 0.195
Os1 0.000 0.231 0.500
```

Summary:
As for the energy above the most stable polymorph in this dataset: 0.000 eV per atom. The energy relative to the elements comes out at -0.20 eV/atom.

Here is a geometry-optimized La2BeHg structure from Alexandria. Energies are from PBE.

Geometry as CIF:
```
data_La2BeHg
_chemical_formula_sum 'La2 Be1 Hg1'
_cell_length_a 3.416
_cell_length_b 3.416
_cell_length_c 8.850
_cell_angle_alpha 90.00
_cell_angle_beta 90.00
_cell_angle_gamma 90.00
_space_group_name_H-M_alt 'P 4 m m'
_space_group_IT_number 99
loop_
_space_group_symop_operation_xyz
'x,y,z'
'-y,x,z'
'-x,-y,z'
'y,-x,z'
'-x,y,z'
'y,x,z'
'x,-y,z'
'-y,-x,z'
loop_
_atom_site_label
_atom_site_fract_x
_atom_site_fract_y
_atom_site_fract_z
La1 0.000 0.000 0.000
La2 0.500 0.500 0.356
Be1 0.000 0.000 0.591
Hg1 0.500 0.500 0.732
```

Summary:
As for the energy above the most stable polymorph in this dataset: 0.259 eV per atom. The energy relative to the elements comes out at 0.11 eV/atom.

Here is a geometry-optimized Pr6Nd2In3 structure from Alexandria. Energies are from PBE.

Geometry as CIF:
```
data_Pr6Nd2In3
_chemical_formula_sum 'Pr12 Nd4 In6'
_cell_length_a 5.425
_cell_length_b 5.425
_cell_length_c 25.827
_cell_angle_alpha 90.00
_cell_angle_beta 90.00
_cell_angle_gamma 90.00
_space_group_name_H-M_alt 'I 4/m m m'
_space_group_IT_number 139
_space_group_name_Hall '-I 4 2'
loop_
_atom_site_label
_atom_site_fract_x
_atom_site_fract_y
_atom_site_fract_z
Pr1 0.000 0.000 0.199
Pr2 0.000 0.500 0.102
Nd1 0.000 0.000 0.056
In1 0.000 0.000 0.323
In2 0.000 0.000 0.500
```

Summary:
The energy relative to the elements comes out at 0.16 eV/atom.

Here is a geometry-optimized ZnHgIr2 structure from Alexandria. Energies are from PBE.

Geometry as CIF:
```
data_ZnHgIr2
_chemical_formula_sum 'Zn4 Hg4 Ir8'
_cell_length_a 6.373
_cell_length_b 6.373
_cell_length_c 6.373
_cell_angle_alpha 90.00
_cell_angle_beta 90.00
_cell_angle_gamma 90.00
_space_group_name_H-M_alt 'F -4 3 m'
_space_group_IT_number 216
_space_group_name_Hall 'F -4 2 3'
loop_
_atom_site_label
_atom_site_fract_x
_atom_site_fract_y
_atom_site_fract_z
Zn1 0.000 0.000 0.000
Hg1 0.250 0.250 0.750
Ir1 0.000 0.000 0.500
Ir2 0.250 0.250 0.250
```

Summary:
The energy relative to the elements comes out at 0.43 eV/atom.

Here is a geometry-optimized PmPrScGa structure from Alexandria. Energies are from PBE.

Geometry as CIF:
```
data_PmPrScGa
_chemical_formula_sum 'Pm4 Pr4 Sc4 Ga4'
_cell_length_a 7.552
_cell_length_b 7.552
_cell_length_c 7.552
_cell_angle_alpha 90.00
_cell_angle_beta 90.00
_cell_angle_gamma 90.00
_space_group_name_H-M_alt 'F -4 3 m'
_space_group_IT_number 216
_space_group_name_Hall 'F -4 2 3'
loop_
_atom_site_label
_atom_site_fract_x
_atom_site_fract_y
_atom_site_fract_z
Pm1 0.000 0.000 0.000
Pr1 0.000 0.000 0.500
Sc1 0.250 0.250 0.750
Ga1 0.250 0.250 0.250
```

Summary:
The energy relative to the elements comes out at -0.14 eV/atom.

Here is a geometry-optimized MnRuCl2 structure from Alexandria. Energies are from PBE.

Geometry as CIF:
```
data_MnRuCl2
_chemical_formula_sum 'Mn2 Ru2 Cl4'
_cell_length_a 3.128
_cell_length_b 5.780
_cell_length_c 8.079
_cell_angle_alpha 90.00
_cell_angle_beta 90.00
_cell_angle_gamma 90.00
_space_group_name_H-M_alt 'C m m m'
_space_group_IT_number 65
_space_group_name_Hall '-C 2 2'
loop_
_atom_site_label
_atom_site_fract_x
_atom_site_fract_y
_atom_site_fract_z
Mn1 0.000 0.000 0.000
Ru1 0.000 0.000 0.500
Cl1 0.000 0.500 0.238
```

Summary:
As for the energy above the most stable polymorph in this dataset: 0.556 eV per atom. The value obtained for the formation energy from raw total energies is 38.6 kJ/mol of atoms.

Here is a geometry-optimized Sm3SbN2 structure from Alexandria. Energies are from PBE.

Geometry as CIF:
```
data_Sm3SbN2
_chemical_formula_sum 'Sm6 Sb2 N4'
_cell_length_a 3.504
_cell_length_b 11.175
_cell_length_c 6.478
_cell_angle_alpha 90.00
_cell_angle_beta 90.00
_cell_angle_gamma 90.00
_space_group_name_H-M_alt 'P m c 21'
_space_group_IT_number 26
loop_
_space_group_symop_operation_xyz
'x,y,z'
'-x,-y,z+1/2'
'-x,y,z'
'x,-y,z+1/2'
loop_
_atom_site_label
_atom_site_fract_x
_atom_site_fract_y
_atom_site_fract_z
Sm1 0.000 0.092 0.000
Sm2 0.500 0.169 0.534
Sm3 0.500 0.390 0.871
Sb1 0.000 0.366 0.282
N1 0.000 0.252 0.772
N2 0.500 0.005 0.283
```

Summary:
The value obtained for the formation energy from raw total energies is -110.6 kJ/mol of atoms.

Here is a geometry-optimized Pu2Co12P7 structure from Alexandria. Energies are from PBE.

Geometry as CIF:
```
data_Pu2Co12P7
_chemical_formula_sum 'Pu2 Co12 P7'
_cell_length_a 9.0307
_cell_length_b 9.0307
_cell_length_c 3.5901
_cell_angle_alpha 90.00
_cell_angle_beta 90.00
_cell_angle_gamma 120.00
_space_group_name_H-M_alt 'P -6'
_space_group_IT_number 174
loop_
_space_group_symop_operation_xyz
'x,y,z'
'-x+y,-x,-z'
'-y,x-y,z'
'x,y,-z'
'-x+y,-x,z'
'-y,x-y,-z'
loop_
_atom_site_label
_atom_site_fract_x
_atom_site_fract_y
_atom_site_fract_z
Pu1 0.0000 0.0000 0.0000
Pu2 0.3333 0.6667 0.5000
Co1 0.0504 0.2829 0.5000
Co2 0.1004 0.7090 0.0000
Co3 0.3948 0.1800 0.0000
Co4 0.5340 0.4357 0.5000
P1 0.0723 0.4461 0.0000
P2 0.2642 0.2216 0.5000
P3 0.6667 0.3333 0.0000
```

Summary:
The energy relative to the elements comes out at -0.71 eV/atom.

Here is a geometry-optimized LaNdMg2 structure from Alexandria. Energies are from PBE.

Geometry as CIF:
```
data_LaNdMg2
_chemical_formula_sum 'La4 Nd4 Mg8'
_cell_length_a 7.850
_cell_length_b 7.850
_cell_length_c 7.850
_cell_angle_alpha 90.00
_cell_angle_beta 90.00
_cell_angle_gamma 90.00
_space_group_name_H-M_alt 'F m -3 m'
_space_group_IT_number 225
_space_group_name_Hall '-F 4 2 3'
loop_
_atom_site_label
_atom_site_fract_x
_atom_site_fract_y
_atom_site_fract_z
La1 0.000 0.000 0.000
Nd1 0.000 0.000 0.500
Mg1 0.250 0.250 0.250
```

Summary:
As for the energy above the most stable polymorph in this dataset: 0.000 eV per atom. The energy relative to the elements comes out at -0.12 eV/atom.